LaNd2Er2 after structural relaxation, computed with PBE.

Properties
Its density of states at the Fermi level is 7.52 states/eV/f.u. Its space group is I4/mmm. The calculation puts the raw total energy at -4.69 eV per atom.

abc: 3.6222 3.6222 13.1215
angles: 97.93 97.93 90.00
Element x y z (fractional)
Nd 0.3952 0.3952 0.7905
Er 0.7971 0.7971 0.5942
La 0.0000 0.0000 0.0000
Er 0.2029 0.2029 0.4058
Nd 0.6048 0.6048 0.2095